PuTa8Nb2 after structural relaxation. Source: Alexandria, functional PBE-GGA.

The structure belongs to space group C2 (No. 5); the cell edges are 18.901, 7.933 and 2.922 Å and the angles 90.00°, 98.85° and 90.00°. The distinct sites, in fractional coordinates, are Pu at (0.000, 0.000, 0.000), Ta at (0.066, 0.337, 0.791), Ta at (0.066, 0.664, 0.341), Ta at (0.184, 0.161, 0.430), Ta at (0.184, 0.837, 0.940) and Nb at (0.191, 0.500, 0.190).

For the total energy, the calculation gives -11.5285 eV/atom. The mass density is 14.403 Mg/m³.



PuTaNb2 after structural relaxation. Source: Alexandria, functional PBE-GGA.

The structure belongs to space group R-3m (No. 166, hexagonal axes); the cell edges are 2.9210, 2.9210 and 32.0559 Å and the angles 90.00°, 90.00° and 120.00°. The distinct sites, in fractional coordinates, are Pu at (0.0000, 0.0000, 0.0000), Ta at (0.0000, 0.0000, 0.5000) and Nb at (0.0000, 0.0000, 0.2463).

The energy above the most stable polymorph in this dataset comes out at 0.78 eV per formula unit. The mass density is 12.846 Mg/m³.



PuZrTaNb after structural relaxation. Source: Alexandria, functional PBE-GGA.

The structure belongs to space group F-43m (No. 216); the cell edges are 6.881, 6.881 and 6.881 Å and the angles 90.00°, 90.00° and 90.00°. The distinct sites, in fractional coordinates, are Pu at (0.000, 0.000, 0.000), Zr at (0.250, 0.250, 0.250), Ta at (0.250, 0.250, 0.750) and Nb at (0.000, 0.000, 0.500).

For the total energy, the calculation gives -10.9853 eV/atom. The mass density is 12.420 Mg/m³.



TbPuNb after structural relaxation. Source: Alexandria, functional PBE-GGA.

The structure belongs to space group C2/m (No. 12); the cell edges are 9.955, 4.672 and 5.824 Å and the angles 90.00°, 99.27° and 90.00°. The distinct sites, in fractional coordinates, are Tb at (0.151, 0.000, 0.464), Pu at (0.246, 0.000, 0.005) and Nb at (0.032, 0.500, 0.766).

For the total energy, the calculation gives -9.1949 eV/atom. The mass density is 12.319 Mg/m³.



TbPu2Nb after structural relaxation. Source: Alexandria, functional PBE-GGA.

The structure belongs to space group P4/mmm (No. 123); the cell edges are 3.659, 3.659 and 7.393 Å and the angles 90.00°, 90.00° and 90.00°. The distinct sites, in fractional coordinates, are Tb at (0.000, 0.000, 0.000), Pu at (0.500, 0.500, 0.288) and Nb at (0.000, 0.000, 0.500).

For the total energy, the calculation gives -10.5053 eV/atom. The mass density is 12.411 Mg/m³.



PuNbTc4 after structural relaxation. Source: Alexandria, functional PBE-GGA.

The structure belongs to space group F-43m (No. 216); the cell edges are 7.463, 7.463 and 7.463 Å and the angles 90.00°, 90.00° and 90.00°. The distinct sites, in fractional coordinates, are Pu at (0.000, 0.000, 0.000), Nb at (0.250, 0.250, 0.250) and Tc at (0.124, 0.124, 0.624).

For the total energy, the calculation gives -10.9208 eV/atom. The mass density is 11.646 Mg/m³.



Pu2NbTc after structural relaxation. Source: Alexandria, functional PBE-GGA.

The structure belongs to space group R-3m (No. 166, hexagonal axes); the cell edges are 3.0728, 3.0728 and 30.4419 Å and the angles 90.00°, 90.00° and 120.00°. The distinct sites, in fractional coordinates, are Pu at (0.0000, 0.0000, 0.0935), Nb at (0.0000, 0.0000, 0.0000) and Tc at (0.0000, 0.0000, 0.5000).

For the total energy, the calculation gives -11.7594 eV/atom. The mass density is 13.587 Mg/m³.



PuTiNbTc after structural relaxation. Source: Alexandria, functional PBE-GGA.

The structure belongs to space group F-43m (No. 216); the cell edges are 6.550, 6.550 and 6.550 Å and the angles 90.00°, 90.00° and 90.00°. The distinct sites, in fractional coordinates, are Pu at (0.000, 0.000, 0.000), Ti at (0.250, 0.250, 0.750), Nb at (0.250, 0.250, 0.250) and Tc at (0.000, 0.000, 0.500).

For the total energy, the calculation gives -10.5884 eV/atom. The mass density is 11.411 Mg/m³.